No. 1
Computed, not measured: SrLi9Tl3 after structural relaxation at the PBE level of DFT.

Summary:
ΔE_f, meV/atom: -164
Space-group type: C2/m, No. 12
Spin magnetization, μB per atom: 0.00

a b c (Å): 6.1225 7.6801 7.5487
angles (deg): 80.25 66.08 65.33
Sites, in units of the cell vectors:
Li 0.6251 0.3471 0.3550
Li 0.4923 0.7765 0.2245
Li 0.5077 0.2235 0.7755
Li 0.7168 0.7765 0.7755
Tl 0.5000 0.5000 0.0000
Li 0.9801 0.3471 0.6450
Li 0.2832 0.2235 0.2245
Li 0.0199 0.6529 0.3550
Tl 0.5000 0.0000 0.5000
Sr 0.0000 0.0000 0.0000
Li 0.3749 0.6529 0.6450
Li 0.0000 0.5000 0.0000
Tl 0.0000 0.0000 0.5000

No. 2
Computed, not measured: Sr3Li6Tl5 after structural relaxation at the PBE level of DFT.

Summary:
ΔE_f, meV/atom: -271
Space-group type: Immm, No. 71
Spin magnetization, μB per atom: 0.00

a b c (Å): 5.0075 9.2125 9.2125
angles (deg): 65.31 74.23 74.23
Sites, in units of the cell vectors:
Tl 0.3404 0.3164 0.0028
Li 0.1349 0.5719 0.1582
Sr 0.2936 0.7064 0.7064
Li 0.5000 0.3258 0.6742
Sr 0.7064 0.2936 0.2936
Li 0.8651 0.8418 0.4281
Li 0.1349 0.1582 0.5719
Li 0.5000 0.6742 0.3258
Tl 0.6596 0.9972 0.6836
Li 0.8651 0.4281 0.8418
Tl 0.3404 0.0028 0.3164
Tl 0.6596 0.6836 0.9972
Sr 0.0000 0.0000 0.0000
Tl 0.0000 0.5000 0.5000

No. 3
Computed, not measured: Sr2LiTl6 after structural relaxation at the PBE level of DFT.

Summary:
ΔE_f, meV/atom: -263
Space-group type: P-3m1, No. 164
Spin magnetization, μB per atom: 0.00

a b c (Å): 6.4147 6.9197 6.9197
angles (deg): 59.98 90.01 90.01
Sites, in units of the cell vectors:
Tl 0.3078 0.8261 0.8261
Tl 0.3085 0.8266 0.3476
Tl 0.6915 0.6524 0.1734
Sr 0.1692 0.3336 0.3336
Tl 0.6915 0.1734 0.6524
Li 0.0000 0.0000 0.0000
Sr 0.8308 0.6664 0.6664
Tl 0.6922 0.1739 0.1739
Tl 0.3085 0.3476 0.8266

No. 4
Computed, not measured: Sr6LiTl5 after structural relaxation at the PBE level of DFT.

Summary:
ΔE_f, meV/atom: -369
Space-group type: Cmmm, No. 65
Spin magnetization, μB per atom: 0.00

a b c (Å): 5.7857 8.2460 9.1641
angles (deg): 90.00 71.60 90.00
Sites, in units of the cell vectors:
Sr 0.1687 0.7484 0.6626
Sr 0.1687 0.2516 0.6626
Sr 0.8313 0.7484 0.3374
Tl 0.0000 0.5000 0.0000
Tl 0.6660 0.5000 0.6680
Sr 0.8313 0.2516 0.3374
Tl 0.6630 0.0000 0.6741
Tl 0.3370 0.0000 0.3259
Sr 0.5000 0.2566 0.0000
Sr 0.5000 0.7434 0.0000
Li 0.0000 0.0000 0.0000
Tl 0.3340 0.5000 0.3320

No. 5
Computed, not measured: SrLiTl2 after structural relaxation at the PBE level of DFT.

Summary:
ΔE_f, meV/atom: -281
Space-group type: Cm, No. 8
Spin magnetization, μB per atom: 0.00

a b c (Å): 4.8442 4.8442 6.4834
angles (deg): 68.23 68.23 59.94
Sites, in units of the cell vectors:
Tl 0.0307 0.0307 0.9092
Tl 0.7863 0.7863 0.6400
Sr 0.2448 0.2448 0.2655
Li 0.4382 0.4382 0.6853

No. 6
Computed, not measured: Sr3Li6Tl20 after structural relaxation at the PBE level of DFT.

Summary:
ΔE_f, meV/atom: -154
Space-group type: Fm-3m, No. 225
Spin magnetization, μB per atom: 0.00

a b c (Å): 10.4148 10.4148 10.4148
angles (deg): 60.00 60.00 60.00
Sites, in units of the cell vectors:
Li 0.7343 0.7343 0.2657
Tl 0.0000 0.6528 0.0000
Li 0.2657 0.2657 0.7343
Tl 0.3843 0.8472 0.3843
Tl 0.6157 0.6157 0.6157
Tl 0.0000 0.3472 0.6528
Li 0.7343 0.2657 0.7343
Li 0.7343 0.2657 0.2657
Tl 0.1528 0.6157 0.6157
Tl 0.6528 0.3472 0.0000
Tl 0.3843 0.3843 0.8472
Tl 0.3472 0.0000 0.0000
Li 0.2657 0.7343 0.2657
Sr 0.0000 0.0000 0.0000
Tl 0.3472 0.0000 0.6528
Tl 0.6528 0.0000 0.0000
Tl 0.6157 0.1528 0.6157
Tl 0.3843 0.3843 0.3843
Li 0.2657 0.7343 0.7343
Sr 0.7500 0.7500 0.7500
Tl 0.0000 0.0000 0.3472
Tl 0.0000 0.6528 0.3472
Tl 0.3472 0.6528 0.0000
Tl 0.0000 0.0000 0.6528
Tl 0.6528 0.0000 0.3472
Tl 0.8472 0.3843 0.3843
Tl 0.6157 0.6157 0.1528
Sr 0.2500 0.2500 0.2500
Tl 0.0000 0.3472 0.0000

No. 7
Computed, not measured: SrLiTl4 after structural relaxation at the PBE level of DFT.

Summary:
ΔE_f, meV/atom: -168
Energy above the lowest structure with this stoichiometry, meV/atom: 71
Space-group type: Cmcm, No. 63
Spin magnetization, μB per atom: 0.00

a b c (Å): 5.5672 7.9958 8.3852
angles (deg): 90.00 109.39 90.00
Sites, in units of the cell vectors:
Tl 0.7843 0.9411 0.5686
Tl 0.0000 0.0000 0.0000
Tl 0.2157 0.0589 0.4314
Tl 0.2157 0.4411 0.4314
Sr 0.6153 0.2500 0.2306
Tl 0.5952 0.7500 0.1904
Tl 0.7843 0.5589 0.5686
Li 0.1388 0.7500 0.2775
Tl 0.0000 0.5000 0.0000
Tl 0.4048 0.2500 0.8096
Sr 0.3847 0.7500 0.7694
Li 0.8612 0.2500 0.7225

No. 8
Computed, not measured: Sr3LiTl after structural relaxation at the PBE level of DFT.

Summary:
ΔE_f, meV/atom: -189
Energy above the lowest structure with this stoichiometry, meV/atom: 0
Space-group type: Cmcm, No. 63
Spin magnetization, μB per atom: 0.00

a b c (Å): 5.8437 5.8483 11.6770
angles (deg): 90.00 75.51 90.00
Sites, in units of the cell vectors:
Sr 0.7528 0.2500 0.1428
Sr 0.8956 0.7500 0.8572
Sr 0.0737 0.7500 0.5010
Sr 0.3960 0.2500 0.8564
Li 0.1640 0.2500 0.3203
Li 0.4843 0.7500 0.6797
Sr 0.5747 0.2500 0.4990
Sr 0.2524 0.7500 0.1436
Tl 0.9822 0.2500 0.6840
Tl 0.6662 0.7500 0.3160

- Which of these has the lowest ΔE_f?
  Sr6LiTl5

- Look up the spin magnetization of the eighth one.
  0.00 μB per atom

What did the third record say?
Computed, not measured: Sr2LiTl6 after structural relaxation at the PBE level of DFT.

Summary:
ΔE_f, meV/atom: -263
Space-group type: P-3m1, No. 164
Spin magnetization, μB per atom: 0.00

a b c (Å): 6.4147 6.9197 6.9197
angles (deg): 59.98 90.01 90.01
Sites, in units of the cell vectors:
Tl 0.3078 0.8261 0.8261
Tl 0.3085 0.8266 0.3476
Tl 0.6915 0.6524 0.1734
Sr 0.1692 0.3336 0.3336
Tl 0.6915 0.1734 0.6524
Li 0.0000 0.0000 0.0000
Sr 0.8308 0.6664 0.6664
Tl 0.6922 0.1739 0.1739
Tl 0.3085 0.3476 0.8266